[1]
! KCa2AgW, optimized geometry, DFT PBE; values from VASP
&SYSTEM
  ibrav = 0, nat = 5, ntyp = 4
/
ATOMIC_SPECIES
Ca 40.08 Ca.upf
K 39.10 K.upf
W 183.84 W.upf
Ag 107.87 Ag.upf
CELL_PARAMETERS angstrom
5.723 0.000 0.000
0.000 5.219 0.000
0.000 0.000 5.723
ATOMIC_POSITIONS angstrom
Ca 0.000 0.000 2.862
K 2.862 2.610 2.862
W 0.000 0.000 0.000
Ag 0.000 2.610 0.000
Ca 2.862 0.000 0.000
! - E_form (eV per atom) = 0.94
! - magnetization (μB per formula unit) = 0.19



[2]
! RbTlSe2, optimized geometry, DFT PBE; values from VASP
&SYSTEM
  ibrav = 0, nat = 4, ntyp = 3
/
ATOMIC_SPECIES
Se 78.96 Se.upf
Rb 85.47 Rb.upf
Tl 204.38 Tl.upf
CELL_PARAMETERS angstrom
-0.986 -7.799 -2.879
3.193 -0.561 -2.809
0.702 -0.448 4.208
ATOMIC_POSITIONS angstrom
Se 1.183 -1.999 1.750
Rb 1.455 -4.404 -0.740
Se 1.726 -6.809 -3.230
Tl 0.000 0.000 0.000
! - magnetization (μB per formula unit) = 0.00
! - distance to the lowest polymorph of the same formula (meV/atom) = 120
! - formation energy from raw total energies (eV per formula unit) = -2.191



[3]
! NaTl2Sb2, optimized geometry, DFT PBE; values from VASP
&SYSTEM
  ibrav = 0, nat = 10, ntyp = 3
/
ATOMIC_SPECIES
Sb 121.76 Sb.upf
Tl 204.38 Tl.upf
Na 22.99 Na.upf
CELL_PARAMETERS angstrom
-0.428 -6.385 0.601
1.898 -0.688 -5.965
6.664 0.065 5.437
ATOMIC_POSITIONS angstrom
Sb 3.110 -5.364 -3.222
Tl 5.401 -5.308 -0.993
Tl 6.260 -5.030 2.573
Sb 5.025 -1.644 3.295
Na 0.000 0.000 0.000
Sb 5.885 -1.956 0.592
Tl 1.875 -1.978 -2.499
Tl 2.733 -1.700 1.066
Na -0.214 -3.192 0.300
Sb 2.250 -5.052 -0.519
! - magnetization (μB per formula unit) = 0.00
! - distance to the lowest polymorph of the same formula (meV/atom) = 59
! - formation energy from raw total energies (eV per formula unit) = -0.205



[4]
! TbPmCuRu, optimized geometry, DFT PBE; values from VASP
&SYSTEM
  ibrav = 0, nat = 4, ntyp = 4
/
ATOMIC_SPECIES
Tb 158.93 Tb.upf
Pm 145.00 Pm.upf
Ru 101.07 Ru.upf
Cu 63.55 Cu.upf
CELL_PARAMETERS angstrom
-2.597 2.894 0.265
-3.168 -2.885 0.449
1.948 -1.344 5.115
ATOMIC_POSITIONS angstrom
Tb 0.179 0.028 1.445
Pm -2.419 0.078 4.098
Ru -2.783 0.020 1.163
Cu 0.558 0.088 4.503
! - E_form (eV per atom) = -0.25
! - magnetization (μB per formula unit) = 0.00
! - distance to the lowest polymorph of the same formula (meV/atom) = 5



[5]
! InAgP2, optimized geometry, DFT PBE; values from VASP
&SYSTEM
  ibrav = 0, nat = 4, ntyp = 3
/
ATOMIC_SPECIES
Ag 107.87 Ag.upf
P 30.97 P.upf
In 114.82 In.upf
CELL_PARAMETERS angstrom
3.122 -0.007 0.000
-1.515 2.729 0.000
0.000 0.000 9.673
ATOMIC_POSITIONS angstrom
Ag 0.000 0.000 4.608
P 0.000 0.000 0.592
P 0.803 1.361 2.109
In 0.803 1.361 7.200
! - E_form (eV per atom) = 0.36
! - magnetization (μB per formula unit) = 0.00



[6]
! Tb2TmSi2, optimized geometry, DFT PBE; values from VASP
&SYSTEM
  ibrav = 0, nat = 10, ntyp = 3
/
ATOMIC_SPECIES
Tm 168.93 Tm.upf
Si 28.09 Si.upf
Tb 158.93 Tb.upf
CELL_PARAMETERS angstrom
4.282 0.000 0.000
2.141 6.064 0.153
2.141 1.161 9.311
ATOMIC_POSITIONS angstrom
Tm 4.282 6.313 6.062
Si 2.141 2.549 4.160
Tb 4.282 4.339 3.003
Si 2.141 5.334 1.118
Si 6.424 1.891 8.345
Tb 2.141 1.743 0.873
Si 6.424 4.676 5.303
Tm 4.282 0.912 3.401
Tb 4.282 2.886 6.461
Tb 6.424 5.481 8.590
! - magnetization (μB per formula unit) = 0.00
! - distance to the lowest polymorph of the same formula (meV/atom) = 94
! - formation energy from raw total energies (eV per formula unit) = -3.159



[7]
! Y4GeTeS2, optimized geometry, DFT PBE; values from VASP
&SYSTEM
  ibrav = 0, nat = 8, ntyp = 4
/
ATOMIC_SPECIES
Y 88.91 Y.upf
Te 127.60 Te.upf
Ge 72.64 Ge.upf
S 32.06 S.upf
CELL_PARAMETERS angstrom
4.089 0.000 0.000
0.000 7.052 -0.124
0.000 2.501 6.749
ATOMIC_POSITIONS angstrom
Y 4.089 2.305 1.852
Y 2.044 5.995 1.686
Te 2.044 3.526 -0.062
Ge 0.000 4.776 3.312
S 2.044 1.251 3.374
Y 0.000 7.247 4.772
Y 2.044 3.557 4.939
S 0.000 2.501 6.749
! - magnetization (μB per formula unit) = 0.00
! - formation energy from raw total energies (eV per formula unit) = -12.641



[8]
! La6Dy2Tm5, optimized geometry, DFT PBE; values from VASP
&SYSTEM
  ibrav = 0, nat = 26, ntyp = 3
/
ATOMIC_SPECIES
Tm 168.93 Tm.upf
La 138.91 La.upf
Dy 162.50 Dy.upf
CELL_PARAMETERS angstrom
-0.139 -1.211 -3.422
-0.153 -11.082 3.929
-20.736 0.519 0.658
ATOMIC_POSITIONS angstrom
Tm -19.648 -2.350 -0.299
Tm -1.380 -9.424 1.464
Tm -0.146 -6.147 0.254
La -13.282 -9.852 4.026
La -7.607 -0.711 0.560
La -2.862 -6.372 2.372
Tm -10.438 -0.346 -1.382
Dy -4.481 -9.164 3.426
Dy -14.822 -6.982 3.073
La -12.094 -4.611 2.123
La -7.802 -9.573 1.777
La -1.667 -0.587 0.275
Tm -16.252 -10.230 2.353
Dy -16.408 -1.399 1.161
La -18.147 -7.621 1.506
Tm -9.295 -3.683 -0.247
Tm -4.776 -1.544 -1.188
Tm -11.733 -8.091 1.412
La -18.027 -4.190 2.215
La -8.795 -5.951 2.463
La -2.881 -4.153 -0.341
Tm -5.837 -7.060 0.808
La -13.226 -2.201 -0.612
Tm -15.192 -4.714 0.357
Dy -6.067 -3.581 1.514
La -19.222 -9.976 4.311
! - E_form (eV per atom) = 0.12
! - magnetization (μB per formula unit) = 0.00



[9]
! Sr2VAg, optimized geometry, DFT PBE; values from VASP
&SYSTEM
  ibrav = 0, nat = 8, ntyp = 3
/
ATOMIC_SPECIES
Sr 87.62 Sr.upf
Ag 107.87 Ag.upf
V 50.94 V.upf
CELL_PARAMETERS angstrom
8.732 0.000 0.000
0.000 8.732 0.000
4.366 4.366 3.449
ATOMIC_POSITIONS angstrom
Sr 2.009 6.549 0.862
Ag 8.732 4.366 1.725
Sr 6.723 2.183 0.862
Sr 10.915 11.089 2.587
V 4.366 4.366 0.000
Sr 6.549 6.375 2.587
V 4.366 8.732 1.725
Ag 0.000 0.000 0.000
! - E_form (eV per atom) = 0.63
! - magnetization (μB per formula unit) = 4.69
! - distance to the lowest polymorph of the same formula (meV/atom) = 230



[10]
! PRu3Pt, optimized geometry, DFT PBE; values from VASP
&SYSTEM
  ibrav = 0, nat = 5, ntyp = 3
/
ATOMIC_SPECIES
Pt 195.08 Pt.upf
P 30.97 P.upf
Ru 101.07 Ru.upf
CELL_PARAMETERS angstrom
-1.547 0.699 4.462
0.784 -4.603 0.993
4.448 1.055 1.377
ATOMIC_POSITIONS angstrom
Pt 0.000 0.000 0.000
P 1.843 -1.425 3.416
Ru -0.773 0.349 2.231
Ru 2.224 0.527 0.688
Ru 0.392 -2.302 0.496
! - E_form (eV per atom) = 2.11
! - magnetization (μB per formula unit) = 5.35
! - distance to the lowest polymorph of the same formula (meV/atom) = 1598



[11]
! PRhIN2, optimized geometry, DFT PBE; values from VASP
&SYSTEM
  ibrav = 0, nat = 5, ntyp = 4
/
ATOMIC_SPECIES
P 30.97 P.upf
N 14.01 N.upf
I 126.90 I.upf
Rh 102.91 Rh.upf
CELL_PARAMETERS angstrom
3.528 0.000 0.000
0.000 3.528 0.000
0.000 0.000 7.895
ATOMIC_POSITIONS angstrom
P 0.000 0.000 0.000
N 0.000 1.764 0.000
I 0.000 0.000 3.948
Rh 1.764 1.764 3.948
N 1.764 0.000 0.000
! - magnetization (μB per formula unit) = 0.57
! - distance to the lowest polymorph of the same formula (meV/atom) = 0
! - formation energy from raw total energies (eV per formula unit) = 5.879



[12]
! HgPPt2, optimized geometry, DFT PBE; values from VASP
&SYSTEM
  ibrav = 0, nat = 4, ntyp = 3
/
ATOMIC_SPECIES
Pt 195.08 Pt.upf
Hg 200.59 Hg.upf
P 30.97 P.upf
CELL_PARAMETERS angstrom
-2.844 -0.536 -0.864
1.467 -1.069 -4.168
0.475 -4.756 1.386
ATOMIC_POSITIONS angstrom
Pt 0.000 0.000 0.000
Hg -0.689 -0.802 -2.516
Pt -1.185 -2.646 0.261
P 0.971 -2.912 -1.391
! - E_form (eV per atom) = 0.30
! - magnetization (μB per formula unit) = 0.00
! - distance to the lowest polymorph of the same formula (meV/atom) = 428



[13]
! Cs2K2SeO4, optimized geometry, DFT PBE; values from VASP
&SYSTEM
  ibrav = 0, nat = 9, ntyp = 4
/
ATOMIC_SPECIES
O 16.00 O.upf
Cs 132.91 Cs.upf
K 39.10 K.upf
Se 78.96 Se.upf
CELL_PARAMETERS angstrom
6.378 0.026 0.037
-3.039 5.607 -0.037
-3.039 -2.004 5.237
ATOMIC_POSITIONS angstrom
O -3.039 3.993 1.082
Cs 0.150 3.717 1.300
K -3.990 2.365 3.414
K -2.088 1.238 1.786
O -3.039 -0.390 4.118
Cs 0.150 -0.089 3.937
O 1.416 0.775 1.119
Se 0.000 0.000 0.000
O -1.117 2.853 4.118
! - magnetization (μB per formula unit) = 1.58
! - formation energy from raw total energies (eV per formula unit) = -7.673